CeTmS4: relaxed, PBE.

```
CeTmS4
1.0
7.1726 0.4964 2.6240
-3.8201 6.1891 2.3833
-0.3064 0.4964 7.6314
Ce Tm S
2 2 8
Direct
0.5000 0.2500 0.2500
0.0000 0.0000 0.0000
0.0000 0.5000 0.5000
0.5000 0.7500 0.7500
0.8010 0.2910 0.9081
0.8010 0.5100 0.2910
0.1990 0.9081 0.2910
0.1990 0.2910 0.5100
0.3010 0.9590 0.7400
0.3010 0.3419 0.9590
0.6990 0.7400 0.9590
0.6990 0.9590 0.3419
```

Summary:
- ΔE to the lowest computed polymorph (meV/atom) = 303



Ce4Tm3S8: relaxed, PBE.

```
Ce4Tm3S8
1.0
6.9128 -0.1647 -3.8015
-4.4650 6.4937 -0.1959
-0.1754 0.1278 7.8801
Ce Tm S
4 3 8
Direct
0.5000 0.0000 0.0000
0.0000 0.5000 0.0000
0.0000 0.0000 0.0000
0.0000 0.0000 0.5000
0.5000 0.5000 0.0000
0.5000 0.0000 0.5000
0.5000 0.5000 0.5000
0.5098 0.2603 0.2603
0.0000 0.7453 0.2547
0.0126 0.2604 0.2604
0.5000 0.7443 0.2557
0.5000 0.2557 0.7443
0.9874 0.7396 0.7396
0.0000 0.2547 0.7453
0.4902 0.7397 0.7397
```



Ce2TmS4: relaxed, PBE.

```
Ce2TmS4
1.0
3.8201 0.0000 0.0000
-1.9100 6.6931 0.0000
0.0000 0.0000 13.3307
Ce Tm S
4 2 8
Direct
0.1322 0.2645 0.4284
0.8678 0.7355 0.9284
0.1322 0.2645 0.0716
0.8678 0.7355 0.5716
0.6258 0.2516 0.7500
0.3742 0.7484 0.2500
0.7817 0.5633 0.1271
0.7817 0.5633 0.3729
0.2183 0.4367 0.8729
0.2183 0.4367 0.6271
0.9810 0.9620 0.7500
0.0190 0.0380 0.2500
0.5000 0.0000 0.0000
0.5000 0.0000 0.5000
```



CeTm3S4: relaxed, PBE.

```
CeTm3S4
1.0
3.8609 0.0000 0.0000
0.0000 6.3906 -2.1710
0.0000 -0.0455 6.7492
S Tm Ce
4 3 1
Direct
0.0000 0.2610 0.2610
0.5000 0.7446 0.2554
0.0000 0.7390 0.7390
0.5000 0.2554 0.7446
0.0000 0.0000 0.5000
0.5000 0.5000 0.5000
0.0000 0.5000 0.0000
0.5000 0.0000 0.0000
```



CeTm2S: relaxed, PBE.

```
CeTm2S
1.0
3.5357 0.0000 0.0000
1.7679 3.0620 0.0000
1.7679 1.0207 10.0336
S Tm Ce
1 2 1
Direct
0.5000 0.5000 0.5000
0.1110 0.1110 0.6670
0.8890 0.8890 0.3330
0.0000 0.0000 0.0000
```



CeTmS4: relaxed, PBE.

```
CeTmS4
1.0
6.8016 0.2841 0.0000
-1.4306 7.0764 0.0000
-2.6855 -3.6803 5.6113
Ce Tm S
2 2 8
Direct
0.3799 0.6299 0.2597
0.6201 0.3701 0.7403
0.2364 0.9864 0.9728
0.7636 0.0136 0.0272
0.9859 0.2293 0.8748
0.7855 0.6810 0.6448
0.3889 0.6454 0.8748
0.3593 0.9638 0.6448
0.6407 0.0362 0.3552
0.6111 0.3546 0.1252
0.2145 0.3190 0.3552
0.0141 0.7707 0.1252
```

Summary:
- ΔE to the lowest computed polymorph (meV/atom) = 0



CeTm2S4: relaxed, PBE.

```
CeTm2S4
1.0
3.8556 0.0000 0.0000
-1.9278 6.3879 0.0000
0.0000 0.0000 13.0678
Ce Tm S
2 4 8
Direct
0.6202 0.2404 0.7500
0.3798 0.7596 0.2500
0.1316 0.2632 0.4339
0.8684 0.7368 0.9339
0.1316 0.2632 0.0661
0.8684 0.7368 0.5661
0.7713 0.5426 0.1192
0.7713 0.5426 0.3808
0.2287 0.4574 0.8808
0.2287 0.4574 0.6192
0.9566 0.9132 0.7500
0.0434 0.0868 0.2500
0.5000 0.0000 0.0000
0.5000 0.0000 0.5000
```



CeTm4S7: relaxed, PBE.

```
CeTm4S7
1.0
6.6964 0.0002 -0.0139
5.6317 3.6230 -0.0139
2.7960 0.8217 11.2263
Ce Tm S
1 4 7
Direct
0.8877 0.8877 0.4199
0.7010 0.7010 0.1830
0.3006 0.3006 0.8139
0.1136 0.1136 0.5828
0.0011 0.0011 0.9966
0.7372 0.7372 0.6546
0.2495 0.2495 0.3498
0.0463 0.0463 0.2071
0.9565 0.9565 0.7856
0.5035 0.5035 0.5084
0.3436 0.3436 0.0492
0.6594 0.6594 0.9490
```



| no. | magnetic moment (μB per atom) | E_form (uncorrected) (meV/atom) | density of states at the Fermi level (states/eV/atom) |
| --- | --- | --- | --- |
| 1 | 0.01 | -1282 | 1.417 |
| 2 | 0.26 | -1984 | 1.476 |
| 3 | 0.33 | -1935 | 1.779 |
| 4 | 0.08 | -1961 | 0.886 |
| 5 | 0.20 | -679 | 1.710 |
| 6 | 0.00 | -1586 | 0.629 |
| 7 | 0.19 | -2056 | 0.909 |
| 8 | 0.10 | -2015 | 0.670 |